The following is a DFT calculation (PBE) of Pr2GdGa2Hg3Au after structural relaxation.

Values from the calculation:
total energy = -29.41 eV per cell

Unit cell a=4.369 b=7.581 c=7.581 alpha=119.87 beta=90.00 gamma=90.00
Positions (direct):
Au  0.000  0.994  0.994
Ga  0.500  0.665  0.338
Ga  0.500  0.338  0.665
Gd  0.000  0.593  0.593
Hg  0.500  0.263  0.263
Hg  0.500  0.999  0.738
Hg  0.500  0.738  0.999
Pr  0.000  0.409  0.001
Pr  0.000  0.001  0.409